Entry 1:
An optimized crystal structure of LiCrCdGe, computed with PBE-GGA.

Cell lengths 4.5468, 4.5468, 4.5468 Å; angles 60.00, 60.00, 60.00 degrees
With the nearest neighbours (Å) after each atom.
Sites, in units of the cell vectors:
Li 0.0000 0.0000 0.0000  4 Cd 2.78, 4 Ge 2.78
Cr 0.5000 0.5000 0.5000  4 Ge 2.78, 4 Cd 2.78
Cd 0.7500 0.7500 0.7500  4 Cr 2.78, 4 Li 2.78
Ge 0.2500 0.2500 0.2500  4 Cr 2.78, 4 Li 2.78

**Calculated volume**: 16.6 A^3/atom
**Electronic total energy**: -4.252 eV/atom
**SG**: F-43m (216)
**Energy of formation**: 0.06 eV per formula unit

---

Entry 2:
An optimized crystal structure of CrCd2NiGe, computed with PBE-GGA.

Cell lengths 5.1272, 5.1272, 4.6382 Å; angles 90.00, 90.00, 90.00 degrees
With the nearest neighbours (Å) after each atom.
Sites, in units of the cell vectors:
Cr 0.0000 0.0000 0.0000  2 Ge 2.32, 4 Cd 2.56
Cd 0.0000 0.5000 0.0000  2 Cr 2.56
Cd 0.5000 0.0000 0.0000  2 Cr 2.56
Ni 0.5000 0.5000 0.5000  8 Cd 3.46, 4 Ge 3.63
Ge 0.0000 0.0000 0.5000  2 Cr 2.32

**Calculated volume**: 24.4 A^3/atom
**Electronic total energy**: -3.367 eV/atom
**SG**: P4/mmm (123)
**Energy of formation**: 5.02 eV per formula unit